Computed, not measured: a relaxed Ho2SnS4 crystal at the PBE-GGA level of DFT.

Uncorrected energy   -5.802 eV per atom
Relative energy among the computed polymorphs   0.05 eV/f.u.
Total magnetic moment   0.000 μB per cell
Mass density   5.14 g/cm³
ΔE_f (raw)   -150.85 kJ per mole of atoms

Geometry as extended XYZ:
```
7
Lattice="-1.366 1.635 -3.368 -4.746 -4.957 -0.481 -1.418 5.309 5.510" Properties=species:S:1:pos:R:3 pbc="T T T"
Ho -2.465 1.937 1.940
Ho -5.065 0.050 -0.279
Sn 0.000 0.000 0.000
S -2.717 -0.585 0.818
S -4.813 2.571 0.842
S -6.221 -0.611 2.227
S -1.309 2.597 -0.566
```



Computed, not measured: a relaxed CaSiPb crystal at the PBE-GGA level of DFT.

Uncorrected energy   -4.046 eV per atom
Relative energy among the computed polymorphs   0.00 eV/f.u.
Total magnetic moment   0.000 μB per cell
Mass density   5.82 g/cm³
ΔE_f (raw)   -32.33 kJ per mole of atoms

Geometry as extended XYZ:
```
6
Lattice="-3.763 0.984 0.227 -1.143 -4.064 -1.328 -0.773 -4.809 8.010" Properties=species:S:1:pos:R:3 pbc="T T T"
Si -3.409 -1.510 0.179
Si -2.270 -6.380 6.731
Pb -3.477 -2.439 3.081
Pb -2.202 -5.451 3.829
Ca -3.559 -3.579 6.644
Ca -2.119 -4.311 0.266
```



Computed, not measured: a relaxed CePmSbO2 crystal at the PBE-GGA level of DFT.

Uncorrected energy   -7.606 eV per atom
Total magnetic moment   0.452 μB per cell
Mass density   7.04 g/cm³
ΔE_f (raw)   -256.77 kJ per mole of atoms

Geometry as extended XYZ:
```
5
Lattice="3.983 0.000 0.000 0.000 3.983 0.000 -1.992 -1.992 6.528" Properties=species:S:1:pos:R:3 pbc="T T T"
Ce 1.992 1.992 4.445
Pm 0.000 0.000 2.050
Sb 0.000 0.000 6.501
O 1.992 0.000 3.294
O 0.000 1.992 3.294
```



Computed, not measured: a relaxed PrCd4Pd crystal at the PBE-GGA level of DFT.

Uncorrected energy   -2.636 eV per atom
Relative energy among the computed polymorphs   0.00 eV/f.u.
Formation energy   -0.36 eV per atom
Total magnetic moment   0.000 μB per cell
Mass density   8.29 g/cm³

Geometry as extended XYZ:
```
12
Lattice="-2.579 -2.436 2.481 6.004 -2.925 3.369 -0.253 6.281 5.904" Properties=species:S:1:pos:R:3 pbc="T T T"
Pr 3.443 2.941 6.466
Pr 2.308 0.415 2.806
Cd -0.126 3.141 2.952
Cd 0.000 0.000 0.000
Cd 4.200 0.726 8.855
Cd -1.027 0.194 2.899
Cd 2.845 -2.924 3.862
Cd 0.328 3.845 7.891
Cd 2.744 -0.411 6.224
Cd 0.429 1.332 5.529
Pd 1.123 4.072 5.164
Pd 4.628 -0.715 4.108
```